(1)
# Cs3KSe4

A relaxed structure of Cs3KSe4 (GGA-PBE, Alexandria via LeMat-Bulk).

Cell lengths 10.800, 10.800, 10.800 Å; angles 150.85, 144.54, 46.54 degrees
Fractional coordinates of all 8 atoms:
Cs (0.000, 0.000, 0.000)
Cs (0.297, 0.797, 0.500)
Cs (0.703, 0.203, 0.500)
K (0.500, 0.500, 0.000)
Se (0.059, 0.376, 0.683)
Se (0.307, 0.624, 0.683)
Se (0.693, 0.376, 0.317)
Se (0.941, 0.624, 0.317)

* energy relative to the elements, uncorrected: -0.916 eV per atom
* calculated volume: 44.35 Å³ per atom
* total magnetic moment: 0.00 μB/f.u.
* space group: Immm

(2)
# Cs4K5Se

A relaxed structure of Cs4K5Se (GGA-PBE, Alexandria via LeMat-Bulk).

Cell lengths 11.377, 11.377, 11.377 Å; angles 94.96, 94.96, 145.81 degrees
Fractional coordinates of all 10 atoms:
Cs (0.000, 0.322, 0.322)
Cs (0.000, 0.678, 0.678)
Cs (0.322, 0.000, 0.322)
Cs (0.678, 0.000, 0.678)
K (0.000, 0.000, 0.000)
K (0.351, 0.351, 0.701)
K (0.351, 0.649, 0.000)
K (0.649, 0.351, 0.000)
K (0.649, 0.649, 0.299)
Se (0.500, 0.500, 0.000)

* energy relative to the elements, uncorrected: -0.268 eV per atom
* calculated volume: 79.10 Å³ per atom
* total magnetic moment: 0.00 μB/f.u.
* space group: I4/mmm

(3)
# Cs6K3Se

A relaxed structure of Cs6K3Se (GGA-PBE, Alexandria via LeMat-Bulk).

Cell lengths 15.396, 15.396, 7.284 Å; angles 90.00, 90.00, 87.73 degrees
Fractional coordinates of all 20 atoms:
Cs (0.087, 0.600, 0.498)
Cs (0.090, 0.910, 0.500)
Cs (0.242, 0.758, 0.998)
Cs (0.255, 0.419, 0.997)
Cs (0.400, 0.913, 0.498)
Cs (0.419, 0.255, 0.497)
Cs (0.581, 0.745, 0.997)
Cs (0.600, 0.087, 0.998)
Cs (0.745, 0.581, 0.497)
Cs (0.758, 0.242, 0.498)
Cs (0.910, 0.090, 0.000)
Cs (0.913, 0.400, 0.998)
K (0.101, 0.245, 0.498)
K (0.245, 0.101, 0.998)
K (0.405, 0.595, 0.498)
K (0.595, 0.405, 0.998)
K (0.755, 0.899, 0.498)
K (0.899, 0.755, 0.998)
Se (0.255, 0.745, 0.499)
Se (0.745, 0.255, 0.999)

* energy relative to the elements, uncorrected: -0.293 eV per atom
* calculated volume: 86.27 Å³ per atom
* total magnetic moment: 0.00 μB/f.u.
* space group: Cmc2_1

(4)
# Cs2K4Se

A relaxed structure of Cs2K4Se (GGA-PBE, Alexandria via LeMat-Bulk).

Cell lengths 14.250, 14.250, 14.250 Å; angles 154.00, 154.00, 37.10 degrees
Fractional coordinates of all 7 atoms:
Cs (0.193, 0.193, 0.000)
Cs (0.807, 0.807, 0.000)
K (0.000, 0.500, 0.500)
K (0.383, 0.383, 0.000)
K (0.500, 0.000, 0.500)
K (0.617, 0.617, 0.000)
Se (0.500, 0.500, 0.000)

* energy relative to the elements, uncorrected: -0.403 eV per atom
* calculated volume: 79.34 Å³ per atom
* total magnetic moment: 0.00 μB/f.u.
* space group: I4/mmm

(5)
# CsKSe2

A relaxed structure of CsKSe2 (GGA-PBE, Alexandria via LeMat-Bulk).

Cell lengths 11.416, 11.416, 11.416 Å; angles 24.01, 24.01, 24.01 degrees
Fractional coordinates of all 4 atoms:
Cs (0.000, 0.000, 0.000)
K (0.500, 0.500, 0.500)
Se (0.407, 0.407, 0.407)
Se (0.593, 0.593, 0.593)

* energy above the most stable polymorph in this dataset: 632 meV per atom
* energy relative to the elements, uncorrected: -0.259 eV per atom
* calculated volume: 54.11 Å³ per atom
* total magnetic moment: 2.00 μB/f.u.
* space group: R-3m

(6)
# CsK3Se

A relaxed structure of CsK3Se (GGA-PBE, Alexandria via LeMat-Bulk).

Cell lengths 7.301, 7.301, 7.301 Å; angles 90.00, 90.00, 90.00 degrees
Fractional coordinates of all 5 atoms:
Cs (0.000, 0.000, 0.000)
K (0.000, 0.000, 0.500)
K (0.000, 0.500, 0.000)
K (0.500, 0.000, 0.000)
Se (0.500, 0.500, 0.500)

* energy above the most stable polymorph in this dataset: 939 meV per atom
* energy relative to the elements, uncorrected: 0.399 eV per atom
* calculated volume: 77.85 Å³ per atom
* total magnetic moment: 0.00 μB/f.u.
* space group: Pm-3m